{
  "formula": "Hg3GeO4",
  "functional": "PBE",
  "state": "relaxed",
  "cell": [[-10.3319, 1.7204, -0.7766], [-4.7006, -2.1728, -2.5768], [-7.3717, -2.0805, 2.3665]],
  "species": ["Ge", "Hg", "Hg", "Hg", "O", "O", "O", "O"],
  "frac_coords": [[0.4694, 0.4804, 0.5127], [0.9261, 0.6858, 0.6701], [0.8369, 0.9283, 0.0935], [0.2615, 0.4708, 0.1637], [0.5368, 0.0934, 0.5050], [0.1371, 0.8072, 0.6580], [0.5209, 0.3134, 0.7495], [0.6603, 0.7208, 0.1475]],
  "e_form_raw_ev_per_atom": -0.76,
  "dft_energy_ev_per_atom": -3.927,
  "n_ef_per_ev_atom": 0.0000,
  "polymorph_energy_ev_per_fu": 0.00,
  "crystal_system": "triclinic"
}

***

{
  "formula": "Hg3GeO",
  "functional": "PBE",
  "state": "relaxed",
  "cell": [[5.2965, 0.0000, 0.0000], [0.0000, 5.2965, 0.0000], [0.0000, 0.0000, 5.2965]],
  "species": ["Ge", "Hg", "Hg", "Hg", "O"],
  "frac_coords": [[0.0000, 0.0000, 0.0000], [0.0000, 0.5000, 0.0000], [0.0000, 0.0000, 0.5000], [0.5000, 0.0000, 0.0000], [0.5000, 0.5000, 0.5000]],
  "e_form_raw_ev_per_atom": 0.54,
  "dft_energy_ev_per_atom": -1.552,
  "n_ef_per_ev_atom": 2.0440,
  "polymorph_energy_ev_per_fu": 0.62,
  "crystal_system": "cubic"
}

***

{
  "formula": "HgGe2O",
  "functional": "PBE",
  "state": "relaxed",
  "cell": [[-1.0724, 0.1030, 4.4756], [0.3605, 3.9341, 2.3633], [-3.7935, 2.1951, 1.4080]],
  "species": ["Ge", "Ge", "Hg", "O"],
  "frac_coords": [[0.2500, 0.2500, 0.2500], [0.7500, 0.7500, 0.7500], [0.5000, 0.5000, 0.5000], [0.0000, 0.0000, 0.0000]],
  "e_form_raw_ev_per_atom": 0.37,
  "dft_energy_ev_per_atom": -3.254,
  "n_ef_per_ev_atom": 0.5235,
  "polymorph_energy_ev_per_fu": 2.00,
  "crystal_system": "cubic"
}

***

Question: What is the formula in the third record?
Answer: HgGe2O

***

What did the third record say?
{
  "formula": "HgGe2O",
  "functional": "PBE",
  "state": "relaxed",
  "cell": [[-1.0724, 0.1030, 4.4756], [0.3605, 3.9341, 2.3633], [-3.7935, 2.1951, 1.4080]],
  "species": ["Ge", "Ge", "Hg", "O"],
  "frac_coords": [[0.2500, 0.2500, 0.2500], [0.7500, 0.7500, 0.7500], [0.5000, 0.5000, 0.5000], [0.0000, 0.0000, 0.0000]],
  "e_form_raw_ev_per_atom": 0.37,
  "dft_energy_ev_per_atom": -3.254,
  "n_ef_per_ev_atom": 0.5235,
  "polymorph_energy_ev_per_fu": 2.00,
  "crystal_system": "cubic"
}